A plane-wave DFT calculation with PBE-GGA was carried out for crystalline K3Ho3ErTe8 at its relaxed geometry.

a = 8.737 Å, b = 8.744 Å, c = 9.902 Å
α = 116.20°, β = 89.99°, γ = 119.99°
Element x y z (fractional)
K 0.000 0.000 0.000
K 0.000 0.500 0.000
K 0.500 0.500 0.000
Ho 0.500 0.000 0.500
Ho 0.500 0.500 0.500
Ho 0.000 0.500 0.500
Er 0.000 0.000 0.500
Te 0.264 0.528 0.292
Te 0.736 0.472 0.708
Te 0.764 0.528 0.293
Te 0.236 0.472 0.707
Te 0.764 0.029 0.293
Te 0.236 0.971 0.707
Te 0.265 0.029 0.293
Te 0.735 0.971 0.707

Output
The value obtained for the total energy is -4.429 eV/atom. For the volume, the calculation gives 37.6 Å³ per atom. Its space group is C2/m. As for the theoretical density: 5.304 g cm⁻³. For the uncorrected formation energy, the calculation gives -1314 meV/atom.